Record 1
## GePdS2N (SCAN)

Data for GePdS2N at its PBEsol-relaxed geometry.

Cell lengths 4.752, 4.752, 3.495 Å; angles 90.00, 90.00, 90.00 degrees
Sites, in units of the cell vectors:
Ge  0.000  0.000  0.000
Pd  0.500  0.500  0.500
S  0.000  0.500  0.000
S  0.500  0.000  0.000
N  0.000  0.000  0.500

Properties
formation energy (no corrections)	0.875	eV per atom
density of states at the Fermi level	0.6523	states/eV/atom
symmetry	No. 123

Record 2
## RbTcGeN2 (SCAN)

Data for RbTcGeN2 at its PBEsol-relaxed geometry.

Cell lengths 4.138, 4.138, 4.836 Å; angles 90.00, 90.00, 90.00 degrees
Sites, in units of the cell vectors:
Rb  0.000  0.000  0.000
Tc  0.500  0.500  0.000
Ge  0.500  0.500  0.500
N  0.000  0.500  0.500
N  0.500  0.000  0.500

Properties
formation energy (no corrections)	1.710	eV per atom
density of states at the Fermi level	0.4433	states/eV/atom
symmetry	No. 123

- Which value of density of states at the Fermi level does entry 2 give?
  0.4433 states/eV/atom

- Which value of formation energy (no corrections) does entry 1 give?
  0.875 eV per atom

- The highest density of states at the Fermi level belongs to which entry?
  GePdS2N